DFT (PBE) results for crystalline NaYRe2 at its relaxed geometry.

## Properties
Raw total energy ... -108.5 eV per cell
Energy above the most stable polymorph in this dataset ... 42 meV per atom
Space group ... No. 225

Structure (POSCAR):
```
NaYRe2
1.0
6.7653 0.0000 0.0000
0.0000 6.7653 0.0000
0.0000 0.0000 6.7653
Na Y Re
4 4 8
Cartesian
0.0000 0.0000 0.0000 Na
0.0000 3.3826 3.3826 Na
3.3826 0.0000 3.3826 Na
3.3826 3.3826 0.0000 Na
0.0000 0.0000 3.3826 Y
0.0000 3.3826 0.0000 Y
3.3826 0.0000 0.0000 Y
3.3826 3.3826 3.3826 Y
1.6913 1.6913 1.6913 Re
1.6913 1.6913 5.0740 Re
1.6913 5.0740 1.6913 Re
1.6913 5.0740 5.0740 Re
5.0740 1.6913 1.6913 Re
5.0740 1.6913 5.0740 Re
5.0740 5.0740 1.6913 Re
5.0740 5.0740 5.0740 Re
```